# 1
{"formula": "NaHfCrMo2", "functional": "PBE", "state": "relaxed", "crystal_system": "tetragonal", "formation_energy_mev_per_atom": 2367.7, "sg": "P4/mmm, No. 123", "lattice_angstrom": [[-0.0189, -2.9790, -3.7208], [-2.0742, -3.5687, 2.8678], [-4.3416, 1.5463, -1.2159]], "species": ["Cr", "Mo", "Mo", "Hf", "Na"], "frac_coords": [[0.5000, 0.5000, 0.5000], [0.0000, 0.0000, 0.5000], [0.5000, 0.0000, 0.0000], [0.0000, 0.0000, 0.0000], [0.0000, 0.5000, 0.0000]]}

---

# 2
{"formula": "CaSc2Al", "functional": "PBE", "state": "relaxed", "crystal_system": "trigonal", "formation_energy_mev_per_atom": 43.2, "sg": "R3m, No. 160", "lattice_angstrom": [[10.7265, 0.0104, 0.0061], [10.1995, 3.3208, 0.0061], [10.1995, 1.6237, 2.8968]], "species": ["Sc", "Sc", "Ca", "Al"], "frac_coords": [[0.9929, 0.9929, 0.9929], [0.2449, 0.2449, 0.2449], [0.7575, 0.7575, 0.7575], [0.5046, 0.5046, 0.5046]]}

---

# 3
{"formula": "Cu4Hg", "functional": "PBE", "state": "relaxed", "crystal_system": "trigonal", "formation_energy_mev_per_atom": 143.6, "sg": "R-3m, No. 166", "lattice_angstrom": [[4.6044, -2.1296, 0.0143], [4.6044, 2.1296, 0.0143], [3.6085, 0.0000, 3.5658]], "species": ["Cu", "Cu", "Cu", "Cu", "Hg"], "frac_coords": [[0.2031, 0.2031, 0.2031], [0.4087, 0.4087, 0.4087], [0.5913, 0.5913, 0.5913], [0.7969, 0.7969, 0.7969], [0.0000, 0.0000, 0.0000]]}

---

# 4
{"formula": "BiSeO2F", "functional": "PBE", "state": "relaxed", "crystal_system": "tetragonal", "raw_formation_energy_mev_per_atom": -402, "sg": "P4/mmm, No. 123", "lattice_angstrom": [[4.3781, 0.0000, 0.0000], [0.0000, 4.3781, 0.0000], [0.0000, 0.0000, 4.5482]], "species": ["O", "O", "Bi", "Se", "F"], "frac_coords": [[0.0000, 0.5000, 0.0000], [0.5000, 0.0000, 0.0000], [0.0000, 0.0000, 0.0000], [0.5000, 0.5000, 0.5000], [0.0000, 0.0000, 0.5000]]}

---

# 5
{"formula": "SbPdW2Au", "functional": "PBE", "state": "relaxed", "crystal_system": "tetragonal", "raw_formation_energy_mev_per_atom": 2239, "sg": "P4/mmm, No. 123", "lattice_angstrom": [[-4.2099, 2.6069, -0.2540], [-2.4515, -3.7487, 2.1567], [0.9394, 1.9516, 4.4601]], "species": ["Sb", "Au", "Pd", "W", "W"], "frac_coords": [[0.0000, 0.0000, 0.0000], [0.0000, 0.5000, 0.0000], [0.5000, 0.5000, 0.5000], [0.0000, 0.0000, 0.5000], [0.5000, 0.0000, 0.0000]]}

---

# 6
{"formula": "ScAsCl", "functional": "PBE", "state": "relaxed", "crystal_system": "tetragonal", "raw_formation_energy_mev_per_atom": -1058, "sg": "I4mm, No. 107", "lattice_angstrom": [[-1.1392, 5.4561, -4.8957], [-1.1716, 1.6118, -7.1459], [-1.0419, -3.7039, 6.3428]], "species": ["As", "Cl", "Sc"], "frac_coords": [[0.0419, 0.0419, 0.0000], [0.2855, 0.2855, 0.0000], [0.6727, 0.6727, 0.0000]]}

---

# 7
{"formula": "Na3Pm12Sb5", "functional": "PBE", "state": "relaxed", "crystal_system": "cubic", "raw_formation_energy_mev_per_atom": 40, "sg": "Ia-3d, No. 230", "lattice_angstrom": [[16.1450, 0.0000, 0.0000], [-5.3817, 15.2217, 0.0000], [-5.3817, -7.6108, 13.1823]], "species": ["Na", "Na", "Na", "Na", "Na", "Na", "Na", "Na", "Na", "Na", "Na", "Na", "Sb", "Sb", "Sb", "Sb", "Sb", "Sb", "Sb", "Sb", "Sb", "Sb", "Sb", "Sb", "Sb", "Sb", "Sb", "Sb", "Sb", "Sb", "Sb", "Sb", "Pm", "Pm", "Pm", "Pm", "Pm", "Pm", "Pm", "Pm", "Pm", "Pm", "Pm", "Pm", "Pm", "Pm", "Pm", "Pm", "Pm", "Pm", "Pm", "Pm", "Pm", "Pm", "Pm", "Pm", "Pm", "Pm", "Pm", "Pm", "Pm", "Pm", "Pm", "Pm", "Pm", "Pm", "Pm", "Pm", "Pm", "Pm", "Pm", "Pm", "Pm", "Pm", "Pm", "Pm", "Pm", "Pm", "Pm", "Pm"], "frac_coords": [[0.7500, 0.3750, 0.1250], [0.8750, 0.7500, 0.1250], [0.3750, 0.7500, 0.6250], [0.2500, 0.1250, 0.3750], [0.8750, 0.1250, 0.2500], [0.3750, 0.6250, 0.2500], [0.6250, 0.3750, 0.7500], [0.1250, 0.8750, 0.7500], [0.7500, 0.8750, 0.6250], [0.6250, 0.2500, 0.3750], [0.1250, 0.2500, 0.8750], [0.2500, 0.6250, 0.8750], [0.1250, 0.3750, 0.2500], [0.0000, 0.5000, 0.0000], [0.0000, 0.0000, 0.0000], [0.3750, 0.2500, 0.1250], [0.5000, 0.0000, 0.5000], [0.5000, 0.5000, 0.0000], [0.1250, 0.7500, 0.3750], [0.7500, 0.1250, 0.8750], [0.7500, 0.6250, 0.3750], [0.3750, 0.1250, 0.7500], [0.6250, 0.8750, 0.2500], [0.5000, 0.5000, 0.5000], [0.5000, 0.0000, 0.0000], [0.0000, 0.0000, 0.5000], [0.2500, 0.3750, 0.6250], [0.2500, 0.8750, 0.1250], [0.0000, 0.5000, 0.5000], [0.8750, 0.2500, 0.6250], [0.6250, 0.7500, 0.8750], [0.8750, 0.6250, 0.7500], [0.7169, 0.1183, 0.0458], [0.3289, 0.5458, 0.4275], [0.9542, 0.3817, 0.2831], [0.5458, 0.2169, 0.1183], [0.5986, 0.7169, 0.6711], [0.9542, 0.5725, 0.1711], [0.3289, 0.7831, 0.4014], [0.0725, 0.9014, 0.1183], [0.5725, 0.9542, 0.6711], [0.7169, 0.5986, 0.1711], [0.7831, 0.4542, 0.3817], [0.8289, 0.9275, 0.0458], [0.1183, 0.7169, 0.5458], [0.3817, 0.4275, 0.0986], [0.0986, 0.9275, 0.3817], [0.4014, 0.1183, 0.5725], [0.0986, 0.1711, 0.2169], [0.4542, 0.6711, 0.0725], [0.8289, 0.9014, 0.2831], [0.1183, 0.4014, 0.0725], [0.3817, 0.9542, 0.7831], [0.5725, 0.6183, 0.4014], [0.9275, 0.8289, 0.5458], [0.7831, 0.3289, 0.9014], [0.4275, 0.3817, 0.5986], [0.0725, 0.1711, 0.4542], [0.2169, 0.6711, 0.0986], [0.1711, 0.0986, 0.7169], [0.6183, 0.0458, 0.2169], [0.8817, 0.5986, 0.9275], [0.5458, 0.3289, 0.9275], [0.5986, 0.8817, 0.4275], [0.9014, 0.8289, 0.7831], [0.9014, 0.0725, 0.6183], [0.8817, 0.2831, 0.4542], [0.1711, 0.0725, 0.9542], [0.6183, 0.5725, 0.9014], [0.4275, 0.0458, 0.3289], [0.2831, 0.4014, 0.8289], [0.2169, 0.5458, 0.6183], [0.9275, 0.0986, 0.8817], [0.6711, 0.2169, 0.5986], [0.4542, 0.7831, 0.8817], [0.0458, 0.4275, 0.8289], [0.4014, 0.2831, 0.3289], [0.0458, 0.6183, 0.7169], [0.6711, 0.4542, 0.5725], [0.2831, 0.8817, 0.9542]]}

---

# 8
{"formula": "Sm2YHoTh", "functional": "PBE", "state": "relaxed", "crystal_system": "monoclinic", "formation_energy_mev_per_atom": 318.2, "sg": "P2/c, No. 13", "lattice_angstrom": [[-4.7326, 3.9439, 1.6395], [-5.4754, -4.6650, -4.5836], [-0.8210, -3.2404, 5.4252]], "species": ["Sm", "Sm", "Sm", "Sm", "Y", "Y", "Ho", "Ho", "Th", "Th"], "frac_coords": [[0.7009, 0.6879, 0.7810], [0.7009, 0.3121, 0.7190], [0.2991, 0.6879, 0.2810], [0.2991, 0.3121, 0.2190], [0.0000, 0.0000, 0.0000], [0.0000, 0.0000, 0.5000], [0.1820, 0.5000, 0.7500], [0.8180, 0.5000, 0.2500], [0.5499, 0.0000, 0.2500], [0.4501, 0.0000, 0.7500]]}

---

# 9
{"formula": "NaPm4Tl7", "functional": "PBE", "state": "relaxed", "crystal_system": "monoclinic", "formation_energy_mev_per_atom": -153.8, "sg": "C2/m, No. 12", "lattice_angstrom": [[-1.3044, 3.7729, 3.8359], [-0.8658, -5.1065, 8.7234], [6.1329, 2.6306, 3.4932]], "species": ["Na", "Pm", "Pm", "Pm", "Pm", "Tl", "Tl", "Tl", "Tl", "Tl", "Tl", "Tl"], "frac_coords": [[0.0000, 0.0000, 0.0000], [0.5841, 0.2181, 0.6137], [0.4159, 0.7819, 0.3863], [0.7213, 0.6683, 0.8891], [0.2787, 0.3317, 0.1109], [0.7759, 0.9000, 0.5481], [0.2241, 0.1000, 0.4519], [0.0810, 0.6782, 0.1597], [0.9190, 0.3218, 0.8403], [0.3698, 0.5413, 0.7191], [0.5000, 0.0000, 0.0000], [0.6302, 0.4587, 0.2809]]}

---

# 10
{"formula": "AlH3O3", "functional": "PBE", "state": "relaxed", "crystal_system": "triclinic", "sg": "P-1, No. 2", "lattice_angstrom": [[-2.7013, -1.1591, 4.1929], [0.9554, -6.2922, 0.0630], [5.2838, 0.1149, 4.1873]], "species": ["Al", "Al", "Al", "Al", "H", "H", "H", "H", "H", "H", "H", "H", "H", "H", "H", "H", "O", "O", "O", "O", "O", "O", "O", "O", "O", "O", "O", "O"], "frac_coords": [[0.5301, 0.1651, 0.8320], [0.4699, 0.8349, 0.1680], [0.0155, 0.3296, 0.6634], [0.9845, 0.6704, 0.3366], [0.1816, 0.9532, 0.8014], [0.8184, 0.0468, 0.1986], [0.6134, 0.4734, 0.3204], [0.3866, 0.5266, 0.6796], [0.2350, 0.2912, 0.3021], [0.7650, 0.7088, 0.6979], [0.8561, 0.8364, 0.9439], [0.1439, 0.1636, 0.0561], [0.7428, 0.0944, 0.4917], [0.2572, 0.9056, 0.5083], [0.2279, 0.6029, 0.9832], [0.7721, 0.3971, 0.0168], [0.2513, 0.0630, 0.7078], [0.7487, 0.9370, 0.2922], [0.6978, 0.5670, 0.2174], [0.3022, 0.4330, 0.7826], [0.1638, 0.3928, 0.4005], [0.8362, 0.6072, 0.5995], [0.6699, 0.8718, 0.9113], [0.3301, 0.1282, 0.0887], [0.7396, 0.1938, 0.5954], [0.2604, 0.8062, 0.4046], [0.1803, 0.7201, 0.0725], [0.8197, 0.2799, 0.9275]]}

---

# 11
{"formula": "Ni2SbW", "functional": "PBE", "state": "relaxed", "crystal_system": "orthorhombic", "raw_formation_energy_mev_per_atom": 294, "sg": "Cmmm, No. 65", "lattice_angstrom": [[-2.3273, 3.8555, -4.2088], [-2.7511, -2.4840, 2.7197], [-1.3264, 2.4797, 0.9253]], "species": ["Ni", "Ni", "Sb", "W"], "frac_coords": [[0.0000, 0.0000, 0.0000], [0.5000, 0.0000, 0.5000], [0.0000, 0.5000, 0.5000], [0.5000, 0.5000, 0.0000]]}

---

# 12
{"formula": "Nd5AlAg", "functional": "PBE", "state": "relaxed", "crystal_system": "monoclinic", "formation_energy_mev_per_atom": 24.2, "sg": "C2/c, No. 15", "lattice_angstrom": [[-2.8600, 3.5179, -6.2420], [4.5733, -5.3676, -3.1293], [-6.4450, -4.0413, 3.8547]], "species": ["Nd", "Nd", "Nd", "Nd", "Nd", "Nd", "Nd", "Nd", "Nd", "Nd", "Al", "Al", "Ag", "Ag"], "frac_coords": [[0.8520, 0.6811, 0.1124], [0.2199, 0.5739, 0.3625], [0.6811, 0.8520, 0.6124], [0.8151, 0.1849, 0.2500], [0.4261, 0.7801, 0.1375], [0.5739, 0.2199, 0.8625], [0.1849, 0.8151, 0.7500], [0.3189, 0.1480, 0.3876], [0.7801, 0.4261, 0.6375], [0.1480, 0.3189, 0.8876], [0.5497, 0.4503, 0.2500], [0.4503, 0.5497, 0.7500], [0.0000, 0.0000, 0.0000], [0.0000, 0.0000, 0.5000]]}

---

# 13
{"formula": "Be2ReSb", "functional": "PBE", "state": "relaxed", "crystal_system": "monoclinic", "raw_formation_energy_mev_per_atom": 252, "sg": "Cm, No. 8", "lattice_angstrom": [[-2.4217, 1.6946, 3.0491], [-0.4338, -0.9143, 4.1242], [2.3884, 3.0727, 3.0401]], "species": ["Re", "Be", "Be", "Sb"], "frac_coords": [[0.4435, 0.4435, 0.6660], [0.0731, 0.0731, 0.8658], [0.7379, 0.7379, 0.6905], [0.2455, 0.2455, 0.2777]]}

---

# 14
{"formula": "HoSc2ZnHg4", "functional": "PBE", "state": "relaxed", "crystal_system": "trigonal", "formation_energy_mev_per_atom": -316.5, "sg": "R-3m, No. 166", "lattice_angstrom": [[4.9273, 0.0000, 0.0000], [2.4637, 4.2672, 0.0000], [2.4637, 1.4224, 8.4309]], "species": ["Ho", "Sc", "Sc", "Zn", "Hg", "Hg", "Hg", "Hg"], "frac_coords": [[0.0000, 0.0000, 0.0000], [0.7575, 0.7575, 0.7276], [0.2425, 0.2425, 0.2724], [0.5000, 0.5000, 0.5000], [0.3783, 0.3783, 0.8650], [0.8752, 0.8752, 0.3745], [0.1248, 0.1248, 0.6255], [0.6217, 0.6217, 0.1350]]}

---

# 15
{"formula": "LaAlIn", "functional": "PBE", "state": "relaxed", "crystal_system": "cubic", "formation_energy_mev_per_atom": -171.2, "sg": "F-43m, No. 216", "lattice_angstrom": [[-2.6802, 0.7017, 4.1621], [1.6599, -1.7720, 4.3708], [1.6290, 3.1549, 3.5202]], "species": ["In", "Al", "La"], "frac_coords": [[0.7500, 0.7500, 0.7500], [0.5000, 0.5000, 0.5000], [0.0000, 0.0000, 0.0000]]}

---

# 16
{"formula": "Na2HPd", "functional": "PBE", "state": "relaxed", "crystal_system": "trigonal", "sg": "R-3m, No. 166", "lattice_angstrom": [[2.9925, 0.0000, 0.0000], [1.4963, 2.5916, 0.0000], [1.4963, 0.8639, 8.2777]], "species": ["Na", "Na", "Pd", "H"], "frac_coords": [[0.1076, 0.1076, 0.6772], [0.8924, 0.8924, 0.3228], [0.0000, 0.0000, 0.0000], [0.5000, 0.5000, 0.5000]]}

---

# 17
{"formula": "SrCdNi2", "functional": "PBE", "state": "relaxed", "crystal_system": "orthorhombic", "formation_energy_mev_per_atom": 184.1, "sg": "Imm2, No. 44", "lattice_angstrom": [[5.7439, 0.0390, 0.0504], [2.8185, 5.0050, -0.0504], [-3.7692, -3.3911, 2.7000]], "species": ["Cd", "Ni", "Ni", "Sr"], "frac_coords": [[0.2190, 0.7190, 0.5000], [0.9779, 0.9779, 0.0000], [0.7940, 0.2940, 0.5000], [0.5091, 0.5091, 0.0000]]}

---

# 18
{"formula": "TiInF6", "functional": "PBE", "state": "relaxed", "crystal_system": "trigonal", "raw_formation_energy_mev_per_atom": -2902, "sg": "R-3, No. 148", "lattice_angstrom": [[5.3613, 0.0076, 0.0072], [2.6754, 4.6454, 0.0095], [2.6735, 1.5441, 4.7945]], "species": ["Ti", "In", "F", "F", "F", "F", "F", "F"], "frac_coords": [[0.0000, 0.0000, 0.0000], [0.5000, 0.5000, 0.5000], [0.1253, 0.3549, 0.7573], [0.7627, 0.1254, 0.7572], [0.6450, 0.2374, 0.2429], [0.2373, 0.8746, 0.2428], [0.8747, 0.6451, 0.2427], [0.3550, 0.7626, 0.7571]]}

---

# 19
{"formula": "Sm4GeSb", "functional": "PBE", "state": "relaxed", "crystal_system": "monoclinic", "raw_formation_energy_mev_per_atom": -505, "sg": "C2/c, No. 15", "lattice_angstrom": [[6.1611, 0.0000, 0.0000], [0.0000, 7.6428, 0.4991], [-3.0805, -2.6154, 7.6686]], "species": ["Sm", "Sm", "Sm", "Sm", "Sm", "Sm", "Sm", "Sm", "Ge", "Ge", "Sb", "Sb"], "frac_coords": [[0.5289, 0.0492, 0.8425], [0.6864, 0.4508, 0.1575], [0.4711, 0.9508, 0.1575], [0.3136, 0.5492, 0.8425], [0.9432, 0.8635, 0.6741], [0.2691, 0.6365, 0.3259], [0.0568, 0.1365, 0.3259], [0.7309, 0.3635, 0.6741], [0.5000, 0.0000, 0.5000], [0.0000, 0.5000, 0.5000], [0.8692, 0.7500, 0.0000], [0.1308, 0.2500, 0.0000]]}

---

# 20
{"formula": "CsRb2BaAs", "functional": "PBE", "state": "relaxed", "crystal_system": "tetragonal", "formation_energy_mev_per_atom": 810.6, "sg": "P4/mmm, No. 123", "lattice_angstrom": [[6.5636, 0.0000, 0.0000], [0.0000, 6.5957, 0.0000], [0.0000, 0.0000, 6.5636]], "species": ["Cs", "As", "Ba", "Rb", "Rb"], "frac_coords": [[0.0000, 0.0000, 0.0000], [0.5000, 0.5000, 0.5000], [0.0000, 0.5000, 0.0000], [0.0000, 0.0000, 0.5000], [0.5000, 0.0000, 0.0000]]}

---

For reference, final energy by record: -6.144 -4.559 -3.194 -4.233 -5.461 -5.334 -4.039 -5.262 -3.228 -5.854 -6.865 -4.323 -5.753 -2.782 -3.974 -2.754 -3.356 -5.635 -5.107 -1.062 eV per atom.